No. 1
CePrNdY | PBE | optimized geometry

Output
The value obtained for the total energy is -5.293 eV per atom. The space group is F-43m (216).

abc: 5.789 5.789 5.789
angles: 60.00 60.00 60.00
Positions (direct):
Ce: 0.000 0.000 0.000
Pr: 0.250 0.250 0.250
Nd: 0.750 0.750 0.750
Y: 0.500 0.500 0.500



No. 2
ReRuSe2 | PBE | optimized geometry

Output
The value obtained for the total energy is -7.069 eV per atom. The space group is R3m (160). The value obtained for the energy above the lowest structure with this stoichiometry is 60 meV/atom. The uncorrected formation energy comes out at 0.104 eV per atom.

abc: 9.805 9.805 9.805
angles: 17.78 17.78 17.78
Positions (direct):
Re: 0.000 0.000 0.000
Ru: 0.745 0.745 0.745
Se: 0.273 0.273 0.273
Se: 0.472 0.472 0.472



No. 3
ReSeBr2N | PBE | optimized geometry

Output
The value obtained for the total energy is -3.580 eV per atom. The space group is P4/mmm (123). The value obtained for the energy above the lowest structure with this stoichiometry is 258 meV/atom. The uncorrected formation energy comes out at 1.941 eV per atom.

abc: 4.367 4.367 4.534
angles: 90.00 90.00 90.00
Positions (direct):
Re: 0.000 0.000 0.000
Se: 0.500 0.500 0.000
Br: 0.000 0.500 0.500
Br: 0.500 0.000 0.500
N: 0.500 0.500 0.500



No. 4
BaTaAu2 | PBE | optimized geometry

Output
The value obtained for the total energy is -4.851 eV per atom. The space group is P4/mmm (123). The value obtained for the energy above the lowest structure with this stoichiometry is 346 meV/atom.

abc: 5.349 5.349 3.284
angles: 90.00 90.00 90.00
Positions (direct):
Ba: 0.000 0.000 0.000
Ta: 0.500 0.500 0.000
Au: 0.000 0.500 0.500
Au: 0.500 0.000 0.500



No. 5
SrYSb2 | PBE | optimized geometry

Output
The value obtained for the total energy is -4.895 eV per atom. The space group is I-4m2 (119). The value obtained for the energy above the lowest structure with this stoichiometry is 164 meV/atom. The uncorrected formation energy comes out at -0.797 eV per atom.

abc: 6.578 6.578 6.578
angles: 139.44 139.44 58.71
Positions (direct):
Sr: 0.000 0.000 0.000
Y: 0.750 0.250 0.500
Sb: 0.250 0.750 0.500
Sb: 0.500 0.500 0.000



No. 6
Ac4Pb2S | PBE | optimized geometry

Output
The value obtained for the total energy is -4.744 eV per atom. The space group is I4/mmm (139). The uncorrected formation energy comes out at -0.747 eV per atom.

abc: 9.666 9.666 9.666
angles: 146.25 146.25 48.48
Positions (direct):
Ac: 0.000 0.500 0.500
Ac: 0.174 0.174 0.000
Ac: 0.500 0.000 0.500
Ac: 0.826 0.826 0.000
Pb: 0.367 0.367 0.000
Pb: 0.633 0.633 0.000
S: 0.000 0.000 0.000



No. 7
CdSiC2N | PBE | optimized geometry

Output
The value obtained for the total energy is -4.323 eV per atom. The space group is P4/mmm (123). The uncorrected formation energy comes out at 2.299 eV per atom.

abc: 4.195 4.195 3.440
angles: 90.00 90.00 90.00
Positions (direct):
Cd: 0.000 0.000 0.000
Si: 0.500 0.500 0.000
C: 0.000 0.500 0.500
C: 0.500 0.000 0.500
N: 0.500 0.500 0.500



No. 8
CoTcSe2 | PBE | optimized geometry

Output
The value obtained for the total energy is -5.556 eV per atom. The space group is Cmmm (65). The value obtained for the energy above the lowest structure with this stoichiometry is 826 meV/atom. The uncorrected formation energy comes out at 0.554 eV per atom.

abc: 3.201 3.201 7.759
angles: 90.00 90.00 122.56
Positions (direct):
Co: 0.000 0.000 0.000
Tc: 0.000 0.000 0.500
Se: 0.500 0.500 0.243
Se: 0.500 0.500 0.757



No. 9
LaYTmTh | PBE | optimized geometry

Output
The value obtained for the total energy is -5.711 eV per atom. The space group is F-43m (216). The value obtained for the energy above the lowest structure with this stoichiometry is 94 meV/atom.

abc: 5.717 5.717 5.717
angles: 60.00 60.00 60.00
Positions (direct):
La: 0.000 0.000 0.000
Y: 0.750 0.750 0.750
Tm: 0.250 0.250 0.250
Th: 0.500 0.500 0.500



No. 10
Nd7GeP5 | PBE | optimized geometry

Output
The value obtained for the total energy is -6.353 eV per atom. The space group is Cmcm (63).

abc: 7.169 7.169 24.512
angles: 90.00 90.00 146.19
Positions (direct):
Nd: 0.047 0.953 0.750
Nd: 0.136 0.864 0.035
Nd: 0.136 0.864 0.465
Nd: 0.319 0.681 0.675
Nd: 0.319 0.681 0.825
Nd: 0.411 0.589 0.106
Nd: 0.411 0.589 0.394
Nd: 0.589 0.411 0.606
Nd: 0.589 0.411 0.894
Nd: 0.681 0.319 0.175
Nd: 0.681 0.319 0.325
Nd: 0.864 0.136 0.535
Nd: 0.864 0.136 0.965
Nd: 0.953 0.047 0.250
Ge: 0.297 0.703 0.250
Ge: 0.703 0.297 0.750
P: 0.046 0.954 0.145
P: 0.046 0.954 0.355
P: 0.227 0.773 0.574
P: 0.227 0.773 0.926
P: 0.500 0.500 0.000
P: 0.500 0.500 0.500
P: 0.773 0.227 0.074
P: 0.773 0.227 0.426
P: 0.954 0.046 0.645
P: 0.954 0.046 0.855



No. 11
Tm13Cd2 | PBE | optimized geometry

Output
The value obtained for the total energy is -4.031 eV per atom. The space group is P-1 (2).

abc: 6.580 8.426 8.733
angles: 66.61 78.79 82.03
Positions (direct):
Tm: 0.000 0.000 0.000
Tm: 0.122 0.480 0.740
Tm: 0.201 0.230 0.150
Tm: 0.249 0.941 0.577
Tm: 0.304 0.657 0.972
Tm: 0.369 0.411 0.389
Tm: 0.492 0.143 0.796
Tm: 0.508 0.857 0.204
Tm: 0.631 0.589 0.611
Tm: 0.696 0.343 0.028
Tm: 0.751 0.059 0.423
Tm: 0.799 0.770 0.850
Tm: 0.878 0.520 0.260
Cd: 0.060 0.766 0.380
Cd: 0.940 0.234 0.620



No. 12
Cd5Ag4Au4 | PBE | optimized geometry

Output
The value obtained for the total energy is -2.343 eV per atom. The space group is I4/m (87).

abc: 7.922 7.922 7.922
angles: 94.16 94.16 148.75
Positions (direct):
Cd: 0.000 0.000 0.000
Cd: 0.296 0.546 0.842
Cd: 0.454 0.296 0.751
Cd: 0.546 0.704 0.249
Cd: 0.704 0.454 0.158
Ag: 0.077 0.388 0.465
Ag: 0.388 0.923 0.311
Ag: 0.612 0.077 0.689
Ag: 0.923 0.612 0.535
Au: 0.148 0.771 0.919
Au: 0.229 0.148 0.377
Au: 0.771 0.852 0.623
Au: 0.852 0.229 0.081



No. 13
BaNdS2O8 | PBE | optimized geometry

Output
The value obtained for the total energy is -6.594 eV per atom. The space group is P-3 (147). The uncorrected formation energy comes out at -2.043 eV per atom.

abc: 5.277 5.277 8.466
angles: 90.00 90.00 120.00
Positions (direct):
Ba: 0.000 0.000 0.000
Nd: 0.000 0.000 0.500
S: 0.333 0.667 0.774
S: 0.667 0.333 0.226
O: 0.177 0.358 0.718
O: 0.182 0.823 0.718
O: 0.333 0.667 0.950
O: 0.358 0.182 0.282
O: 0.642 0.818 0.718
O: 0.667 0.333 0.050
O: 0.818 0.177 0.282
O: 0.823 0.642 0.282



No. 14
FeHIr3 | PBE | optimized geometry

Output
The value obtained for the total energy is -5.580 eV per atom. The space group is Pm-3m (221). The value obtained for the energy above the lowest structure with this stoichiometry is 1877 meV/atom.

abc: 4.448 4.448 4.448
angles: 90.00 90.00 90.00
Positions (direct):
Fe: 0.000 0.000 0.000
H: 0.500 0.500 0.500
Ir: 0.000 0.000 0.500
Ir: 0.000 0.500 0.000
Ir: 0.500 0.000 0.000



No. 15
BeAlAs2 | PBE | optimized geometry

Output
The value obtained for the total energy is -3.904 eV per atom. The space group is Cmmm (65). The value obtained for the energy above the lowest structure with this stoichiometry is 457 meV/atom.

abc: 3.150 3.150 7.170
angles: 90.00 90.00 110.13
Positions (direct):
Be: 0.000 0.000 0.000
Al: 0.000 0.000 0.500
As: 0.500 0.500 0.214
As: 0.500 0.500 0.786



No. 16
BaLa3Fe | PBE | optimized geometry

Output
The value obtained for the total energy is -4.916 eV per atom. The space group is Pm-3m (221).

abc: 5.629 5.629 5.629
angles: 90.00 90.00 90.00
Positions (direct):
Ba: 0.000 0.000 0.000
La: 0.000 0.500 0.500
La: 0.500 0.000 0.500
La: 0.500 0.500 0.000
Fe: 0.500 0.500 0.500



No. 17
CrSb2P | PBE | optimized geometry

Output
The value obtained for the total energy is -5.328 eV per atom. The space group is I-4m2 (119). The uncorrected formation energy comes out at 0.491 eV per atom.

abc: 6.080 6.080 6.080
angles: 141.62 141.62 55.41
Positions (direct):
Cr: 0.000 0.000 0.000
Sb: 0.500 0.500 0.000
Sb: 0.750 0.250 0.500
P: 0.250 0.750 0.500



No. 18
Sr2YCl | PBE | optimized geometry

Output
The value obtained for the total energy is -3.552 eV per atom. The space group is R3m (160). The value obtained for the energy above the lowest structure with this stoichiometry is 111 meV/atom. The uncorrected formation energy comes out at -0.634 eV per atom.

abc: 10.929 10.929 10.929
angles: 20.82 20.82 20.82
Positions (direct):
Sr: 0.000 0.000 0.000
Sr: 0.223 0.223 0.223
Y: 0.762 0.762 0.762
Cl: 0.489 0.489 0.489



No. 19
SrTeAu | PBE | optimized geometry

Output
The value obtained for the total energy is -3.454 eV per atom. The space group is I4mm (107). The value obtained for the energy above the lowest structure with this stoichiometry is 221 meV/atom. The uncorrected formation energy comes out at -0.753 eV per atom.

abc: 5.684 5.684 5.684
angles: 135.00 135.00 65.52
Positions (direct):
Sr: 0.000 0.000 0.000
Te: 0.358 0.358 0.000
Au: 0.659 0.659 0.000



No. 20
SrSiNi2 | PBE | optimized geometry

Output
The value obtained for the total energy is -4.882 eV per atom. The space group is P4mm (99). The uncorrected formation energy comes out at -0.215 eV per atom.

abc: 3.800 3.800 5.459
angles: 90.00 90.00 90.00
Positions (direct):
Sr: 0.000 0.000 0.000
Si: 0.500 0.500 0.668
Ni: 0.000 0.500 0.462
Ni: 0.500 0.000 0.462